19
Lattice="-2.9584 -4.2855 6.6357 8.0597 1.8068 1.7110 -4.1291 7.3540 -0.1405" Properties=species:S:1:pos:R:3 comment="TlPd6Pb12 PBE-GGA optimized geometry" magmom_total_mub_per_fu=0.00 e_form_mev_per_atom=-96.5 e_tot_ev_per_atom=-4.203 pbc="T T T"
Tl 0.0000 0.0000 0.0000
Pd -0.9488 -0.3873 5.0860
Pd -1.4339 4.4351 2.2785
Pd 3.6160 2.1368 3.0456
Pd 2.4061 0.4402 5.9278
Pd 1.9210 5.2626 3.1203
Pd -2.6438 2.7385 5.1606
Pb -3.6534 0.1487 5.9534
Pb -0.1745 1.8303 6.6326
Pb -0.4748 4.8153 4.8948
Pb -1.6789 1.4826 2.8367
Pb 1.4470 0.0600 3.3115
Pb 1.1467 3.0450 1.5737
Pb 0.0462 6.8106 1.5573
Pb 5.0654 0.3536 4.7988
Pb 4.6256 4.7266 2.2529
Pb 0.9260 -1.9353 6.6490
Pb -4.0933 4.5217 3.4075
Pb 2.6511 3.3927 5.3696

8
Lattice="4.0975 0.0000 0.0000 0.0000 4.0975 0.0000 0.0000 0.0000 8.1905" Properties=species:S:1:pos:R:3 comment="TlPd6Pb PBE-GGA optimized geometry" magmom_total_mub_per_fu=0.00 e_form_mev_per_atom=-237.1 e_tot_ev_per_atom=-4.891 pbc="T T T"
Tl 0.0000 0.0000 0.0000
Pd 2.0487 2.0487 0.0000
Pd 2.0487 2.0487 4.0952
Pd 2.0487 0.0000 2.0452
Pd 2.0487 0.0000 6.1453
Pd 0.0000 2.0487 2.0452
Pd 0.0000 2.0487 6.1453
Pb 0.0000 0.0000 4.0952